A geometry-optimized Te2RuNO structure, computed with PBE.

Values from the calculation:
M_tot in μB per formula unit: 0.99
Electronic total energy in eV/atom: -4.548
Energy relative to the lowest polymorph listed for this composition in eV/atom: 0.526
Energy relative to the elements, uncorrected in eV/f.u.: 6.10
DOS at the Fermi energy in states/eV/f.u.: 3.93
Space group: P4/mmm (123)

a b c (Å): 4.7086 4.7086 3.5944
angles (deg): 90.00 90.00 90.00
Atoms (fractional coordinates):
Te (0.0000, 0.5000, 0.0000)
Te (0.5000, 0.0000, 0.0000)
Ru (0.0000, 0.0000, 0.5000)
N (0.5000, 0.5000, 0.5000)
O (0.5000, 0.5000, 0.0000)